<one>
# SrSc2Tl (PBE-GGA, relaxed)
# Mass density: 5.84 g/cm3
# DOS at the Fermi energy: 1.5504 states/eV/atom
data_SrSc2Tl
_cell_length_a 7.5713
_cell_length_b 7.5713
_cell_length_c 7.5713
_cell_angle_alpha 90.00
_cell_angle_beta 90.00
_cell_angle_gamma 90.00
_symmetry_space_group_name_H-M 'F m -3 m'
_symmetry_Int_Tables_number 225
_symmetry_space_group_name_Hall '-F 4 2 3'
loop_
_atom_site_label
_atom_site_type_symbol
_atom_site_fract_x
_atom_site_fract_y
_atom_site_fract_z
_atom_site_occupancy
Sr1 Sr 0.0000 0.0000 0.0000 1
Sc1 Sc 0.2500 0.2500 0.2500 1
Tl1 Tl 0.0000 0.0000 0.5000 1


<two>
# SrSc2Tl (PBE-GGA, relaxed)
# Mass density: 5.70 g/cm3
# DOS at the Fermi energy: 0.9221 states/eV/atom
data_SrSc2Tl
_cell_length_a 4.8080
_cell_length_b 4.8080
_cell_length_c 4.8148
_cell_angle_alpha 90.00
_cell_angle_beta 90.00
_cell_angle_gamma 90.00
_symmetry_space_group_name_H-M 'P 4/m m m'
_symmetry_Int_Tables_number 123
_symmetry_space_group_name_Hall '-P 4 2'
loop_
_atom_site_label
_atom_site_type_symbol
_atom_site_fract_x
_atom_site_fract_y
_atom_site_fract_z
_atom_site_occupancy
Sr1 Sr 0.0000 0.0000 0.0000 1
Sc1 Sc 0.0000 0.5000 0.5000 1
Tl1 Tl 0.5000 0.5000 0.0000 1


<three>
# SrSc2Tl (PBE-GGA, relaxed)
# Mass density: 5.24 g/cm3
# DOS at the Fermi energy: 1.2882 states/eV/atom
data_SrSc2Tl
_cell_length_a 4.6217
_cell_length_b 4.6217
_cell_length_c 22.6438
_cell_angle_alpha 90.00
_cell_angle_beta 90.00
_cell_angle_gamma 90.00
_symmetry_space_group_name_H-M 'I -4 2 d'
_symmetry_Int_Tables_number 122
_symmetry_space_group_name_Hall 'I -4 2bw'
loop_
_atom_site_label
_atom_site_type_symbol
_atom_site_fract_x
_atom_site_fract_y
_atom_site_fract_z
_atom_site_occupancy
Sr1 Sr 0.0000 0.0000 0.0000 1
Sc1 Sc 0.2193 0.2500 0.6250 1
Tl1 Tl 0.0000 0.0000 0.5000 1


Relative energies in kJ/mol of atoms: <one> 11.3; <two> 0.0; <three> 24.2


<one>
# SrSc2Tl (PBE-GGA, relaxed)
# Mass density: 5.27 g/cm3
# DOS at the Fermi energy: 1.4354 states/eV/atom
data_SrSc2Tl
_cell_length_a 3.5847
_cell_length_b 3.5847
_cell_length_c 32.4464
_cell_angle_alpha 90.00
_cell_angle_beta 90.00
_cell_angle_gamma 120.00
_symmetry_space_group_name_H-M 'R -3 m'
_symmetry_Int_Tables_number 166
_symmetry_space_group_name_Hall '-R 3 2"'
loop_
_atom_site_label
_atom_site_type_symbol
_atom_site_fract_x
_atom_site_fract_y
_atom_site_fract_z
_atom_site_occupancy
Sr1 Sr 0.0000 0.0000 0.0000 1
Sc1 Sc 0.0000 0.0000 0.2369 1
Tl1 Tl 0.0000 0.0000 0.5000 1


<two>
# SrSc2Tl (PBE-GGA, relaxed)
# Mass density: 5.39 g/cm3
# DOS at the Fermi energy: 1.0171 states/eV/atom
data_SrSc2Tl
_cell_length_a 3.7051
_cell_length_b 3.7051
_cell_length_c 8.5755
_cell_angle_alpha 90.00
_cell_angle_beta 90.00
_cell_angle_gamma 90.00
_symmetry_space_group_name_H-M 'P 4 m m'
_symmetry_Int_Tables_number 99
loop_
_symmetry_equiv_pos_as_xyz
'x,y,z'
'-y,x,z'
'-x,-y,z'
'y,-x,z'
'-x,y,z'
'y,x,z'
'x,-y,z'
'-y,-x,z'
loop_
_atom_site_label
_atom_site_type_symbol
_atom_site_fract_x
_atom_site_fract_y
_atom_site_fract_z
_atom_site_occupancy
Sr1 Sr 0.0000 0.0000 0.0000 1
Sc1 Sc 0.0000 0.0000 0.4686 1
Sc2 Sc 0.5000 0.5000 0.6774 1
Tl1 Tl 0.5000 0.5000 0.2757 1


Relative energies in kJ/mol of atoms: <one> 19.3; <two> 0.0


<one>
# SrSc2Tl2 (PBE-GGA, relaxed)
# Mass density: 7.24 g/cm3
# DOS at the Fermi energy: 0.8690 states/eV/atom
data_SrSc2Tl2
_cell_length_a 8.9479
_cell_length_b 8.9479
_cell_length_c 3.3603
_cell_angle_alpha 90.00
_cell_angle_beta 90.00
_cell_angle_gamma 90.00
_symmetry_space_group_name_H-M 'P 4/m b m'
_symmetry_Int_Tables_number 127
_symmetry_space_group_name_Hall '-P 4 2ab'
loop_
_atom_site_label
_atom_site_type_symbol
_atom_site_fract_x
_atom_site_fract_y
_atom_site_fract_z
_atom_site_occupancy
Sr1 Sr 0.0000 0.0000 0.0000 1
Sc1 Sc 0.1202 0.3798 0.0000 1
Tl1 Tl 0.1767 0.6767 0.5000 1


<two>
# SrSc2Tl2 (PBE-GGA, relaxed)
# Mass density: 6.98 g/cm3
# DOS at the Fermi energy: 0.9746 states/eV/atom
data_SrSc2Tl2
_cell_length_a 9.0076
_cell_length_b 9.0076
_cell_length_c 3.4369
_cell_angle_alpha 90.00
_cell_angle_beta 90.00
_cell_angle_gamma 90.00
_symmetry_space_group_name_H-M 'P 4/m b m'
_symmetry_Int_Tables_number 127
_symmetry_space_group_name_Hall '-P 4 2ab'
loop_
_atom_site_label
_atom_site_type_symbol
_atom_site_fract_x
_atom_site_fract_y
_atom_site_fract_z
_atom_site_occupancy
Sr1 Sr 0.0000 0.0000 0.0000 1
Sc1 Sc 0.1328 0.3672 0.5000 1
Tl1 Tl 0.1659 0.6659 0.0000 1


Relative energies in kJ/mol of atoms: <one> 0.0; <two> 2.1


<one>
# SrScV2 (PBE-GGA, relaxed)
# Mass density: 4.03 g/cm3
# DOS at the Fermi energy: 1.6161 states/eV/atom
data_SrScV2
_cell_length_a 7.2814
_cell_length_b 7.2814
_cell_length_c 7.2814
_cell_angle_alpha 90.00
_cell_angle_beta 90.00
_cell_angle_gamma 90.00
_symmetry_space_group_name_H-M 'F m -3 m'
_symmetry_Int_Tables_number 225
_symmetry_space_group_name_Hall '-F 4 2 3'
loop_
_atom_site_label
_atom_site_type_symbol
_atom_site_fract_x
_atom_site_fract_y
_atom_site_fract_z
_atom_site_occupancy
Sr1 Sr 0.0000 0.0000 0.0000 1
Sc1 Sc 0.0000 0.0000 0.5000 1
V1 V 0.2500 0.2500 0.2500 1


<two>
# SrScV2 (PBE-GGA, relaxed)
# Mass density: 3.68 g/cm3
# DOS at the Fermi energy: 1.4091 states/eV/atom
data_SrScV2
_cell_length_a 4.5708
_cell_length_b 4.5708
_cell_length_c 20.2735
_cell_angle_alpha 90.00
_cell_angle_beta 90.00
_cell_angle_gamma 90.00
_symmetry_space_group_name_H-M 'I -4 2 d'
_symmetry_Int_Tables_number 122
_symmetry_space_group_name_Hall 'I -4 2bw'
loop_
_atom_site_label
_atom_site_type_symbol
_atom_site_fract_x
_atom_site_fract_y
_atom_site_fract_z
_atom_site_occupancy
Sr1 Sr 0.0000 0.0000 0.0000 1
Sc1 Sc 0.0000 0.0000 0.5000 1
V1 V 0.0206 0.2500 0.6250 1


Relative energies in kJ/mol of atoms: <one> 0.0; <two> 27.9


<one>
# Sr3ScV (PBE-GGA, relaxed)
# Mass density: 2.40 g/cm3
# DOS at the Fermi energy: 2.6011 states/eV/atom
data_Sr3ScV
_cell_length_a 6.2890
_cell_length_b 6.2890
_cell_length_c 6.2890
_cell_angle_alpha 90.00
_cell_angle_beta 90.00
_cell_angle_gamma 90.00
_symmetry_space_group_name_H-M 'P m -3 m'
_symmetry_Int_Tables_number 221
_symmetry_space_group_name_Hall '-P 4 2 3'
loop_
_atom_site_label
_atom_site_type_symbol
_atom_site_fract_x
_atom_site_fract_y
_atom_site_fract_z
_atom_site_occupancy
Sr1 Sr 0.0000 0.0000 0.5000 1
Sc1 Sc 0.0000 0.0000 0.0000 1
V1 V 0.5000 0.5000 0.5000 1


<two>
# Sr3ScV (PBE-GGA, relaxed)
# Mass density: 2.65 g/cm3
# DOS at the Fermi energy: 2.2483 states/eV/atom
data_Sr3ScV
_cell_length_a 6.0780
_cell_length_b 6.0780
_cell_length_c 6.0780
_cell_angle_alpha 90.00
_cell_angle_beta 90.00
_cell_angle_gamma 90.00
_symmetry_space_group_name_H-M 'P m -3 m'
_symmetry_Int_Tables_number 221
_symmetry_space_group_name_Hall '-P 4 2 3'
loop_
_atom_site_label
_atom_site_type_symbol
_atom_site_fract_x
_atom_site_fract_y
_atom_site_fract_z
_atom_site_occupancy
Sr1 Sr 0.0000 0.0000 0.5000 1
Sc1 Sc 0.5000 0.5000 0.5000 1
V1 V 0.0000 0.0000 0.0000 1


Relative energies in kJ/mol of atoms: <one> 39.2; <two> 0.0


<one>
# SrSc2V (PBE-GGA, relaxed)
# Mass density: 3.68 g/cm3
# DOS at the Fermi energy: 1.2872 states/eV/atom
data_SrSc2V
_cell_length_a 7.4407
_cell_length_b 7.4407
_cell_length_c 7.4407
_cell_angle_alpha 90.00
_cell_angle_beta 90.00
_cell_angle_gamma 90.00
_symmetry_space_group_name_H-M 'F m -3 m'
_symmetry_Int_Tables_number 225
_symmetry_space_group_name_Hall '-F 4 2 3'
loop_
_atom_site_label
_atom_site_type_symbol
_atom_site_fract_x
_atom_site_fract_y
_atom_site_fract_z
_atom_site_occupancy
Sr1 Sr 0.0000 0.0000 0.0000 1
Sc1 Sc 0.2500 0.2500 0.2500 1
V1 V 0.0000 0.0000 0.5000 1


<two>
# SrSc2V (PBE-GGA, relaxed)
# Mass density: 3.57 g/cm3
# DOS at the Fermi energy: 1.2523 states/eV/atom
data_SrSc2V
_cell_length_a 3.3451
_cell_length_b 3.3451
_cell_length_c 32.8619
_cell_angle_alpha 90.00
_cell_angle_beta 90.00
_cell_angle_gamma 120.00
_symmetry_space_group_name_H-M 'R -3 m'
_symmetry_Int_Tables_number 166
_symmetry_space_group_name_Hall '-R 3 2"'
loop_
_atom_site_label
_atom_site_type_symbol
_atom_site_fract_x
_atom_site_fract_y
_atom_site_fract_z
_atom_site_occupancy
Sr1 Sr 0.0000 0.0000 0.0000 1
Sc1 Sc 0.0000 0.0000 0.1038 1
V1 V 0.0000 0.0000 0.5000 1


<three>
# SrSc2V (PBE-GGA, relaxed)
# Mass density: 2.84 g/cm3
# DOS at the Fermi energy: 0.9498 states/eV/atom
data_SrSc2V
_cell_length_a 7.2278
_cell_length_b 7.2278
_cell_length_c 10.2453
_cell_angle_alpha 90.00
_cell_angle_beta 90.00
_cell_angle_gamma 90.00
_symmetry_space_group_name_H-M 'I 41/a m d'
_symmetry_Int_Tables_number 141
loop_
_symmetry_equiv_pos_as_xyz
'x,y,z'
'-x,-y,-z'
'-y+1/4,x+3/4,z+1/4'
'y+1/4,-x+3/4,-z+1/4'
'-x+1/2,-y,z+1/2'
'x+1/2,y,-z+1/2'
'y+1/4,-x+1/4,z+3/4'
'-y+1/4,x+1/4,-z+3/4'
'x,-y,-z'
'-x,y,z'
'-y+1/4,-x+1/4,-z+3/4'
'y+1/4,x+1/4,z+3/4'
'-x+1/2,y,-z+1/2'
'x+1/2,-y,z+1/2'
'y+1/4,x+3/4,-z+1/4'
'-y+1/4,-x+3/4,z+1/4'
'x+1/2,y+1/2,z+1/2'
'-x+1/2,-y+1/2,-z+1/2'
'-y+3/4,x+1/4,z+3/4'
'y+3/4,-x+1/4,-z+3/4'
'-x,-y+1/2,z'
'x,y+1/2,-z'
'y+3/4,-x+3/4,z+1/4'
'-y+3/4,x+3/4,-z+1/4'
'x+1/2,-y+1/2,-z+1/2'
'-x+1/2,y+1/2,z+1/2'
'-y+3/4,-x+3/4,-z+1/4'
'y+3/4,x+3/4,z+1/4'
'-x,y+1/2,-z'
'x,-y+1/2,z'
'y+3/4,x+1/4,-z+3/4'
'-y+3/4,-x+1/4,z+3/4'
loop_
_atom_site_label
_atom_site_type_symbol
_atom_site_fract_x
_atom_site_fract_y
_atom_site_fract_z
_atom_site_occupancy
Sr1 Sr 0.0000 0.2500 0.3750 1
Sc1 Sc 0.0000 0.0000 0.0000 1
V1 V 0.0000 0.2500 0.8750 1


Relative energies in kJ/mol of atoms: <one> 0.0; <two> 1.4; <three> 42.9


<one>
# Sr2ScV (PBE-GGA, relaxed)
# Mass density: 3.39 g/cm3
# DOS at the Fermi energy: 1.9252 states/eV/atom
data_Sr2ScV
_cell_length_a 8.0973
_cell_length_b 8.0973
_cell_length_c 8.0973
_cell_angle_alpha 90.00
_cell_angle_beta 90.00
_cell_angle_gamma 90.00
_symmetry_space_group_name_H-M 'F m -3 m'
_symmetry_Int_Tables_number 225
_symmetry_space_group_name_Hall '-F 4 2 3'
loop_
_atom_site_label
_atom_site_type_symbol
_atom_site_fract_x
_atom_site_fract_y
_atom_site_fract_z
_atom_site_occupancy
Sr1 Sr 0.2500 0.2500 0.2500 1
Sc1 Sc 0.0000 0.0000 0.0000 1
V1 V 0.0000 0.0000 0.5000 1


<two>
# Sr2ScV (PBE-GGA, relaxed)
# Mass density: 3.35 g/cm3
# DOS at the Fermi energy: 1.2457 states/eV/atom
data_Sr2ScV
_cell_length_a 9.0396
_cell_length_b 9.0396
_cell_length_c 6.5811
_cell_angle_alpha 90.00
_cell_angle_beta 90.00
_cell_angle_gamma 90.00
_symmetry_space_group_name_H-M 'I -4 2 d'
_symmetry_Int_Tables_number 122
_symmetry_space_group_name_Hall 'I -4 2bw'
loop_
_atom_site_label
_atom_site_type_symbol
_atom_site_fract_x
_atom_site_fract_y
_atom_site_fract_z
_atom_site_occupancy
Sr1 Sr 0.2219 0.7500 0.1250 1
Sc1 Sc 0.0000 0.0000 0.5000 1
V1 V 0.0000 0.0000 0.0000 1


Relative energies in kJ/mol of atoms: <one> 0.0; <two> 18.7


<one>
# SrSc2W2 (PBE-GGA, relaxed)
# Mass density: 6.22 g/cm3
# DOS at the Fermi energy: 1.3222 states/eV/atom
data_SrSc2W2
_cell_length_a 3.6890
_cell_length_b 3.6890
_cell_length_c 21.3749
_cell_angle_alpha 90.00
_cell_angle_beta 90.00
_cell_angle_gamma 90.00
_symmetry_space_group_name_H-M 'I 4/m m m'
_symmetry_Int_Tables_number 139
_symmetry_space_group_name_Hall '-I 4 2'
loop_
_atom_site_label
_atom_site_type_symbol
_atom_site_fract_x
_atom_site_fract_y
_atom_site_fract_z
_atom_site_occupancy
Sr1 Sr 0.0000 0.0000 0.0000 1
Sc1 Sc 0.0000 0.0000 0.3554 1
W1 W 0.0000 0.5000 0.2500 1


<two>
# SrSc2W2 (PBE-GGA, relaxed)
# Mass density: 8.11 g/cm3
# DOS at the Fermi energy: 1.1867 states/eV/atom
data_SrSc2W2
_cell_length_a 8.6513
_cell_length_b 8.6513
_cell_length_c 2.9823
_cell_angle_alpha 90.00
_cell_angle_beta 90.00
_cell_angle_gamma 90.00
_symmetry_space_group_name_H-M 'P 4/m b m'
_symmetry_Int_Tables_number 127
_symmetry_space_group_name_Hall '-P 4 2ab'
loop_
_atom_site_label
_atom_site_type_symbol
_atom_site_fract_x
_atom_site_fract_y
_atom_site_fract_z
_atom_site_occupancy
Sr1 Sr 0.0000 0.0000 0.0000 1
Sc1 Sc 0.1866 0.3134 0.0000 1
W1 W 0.1031 0.6031 0.5000 1


Relative energies in kJ/mol of atoms: <one> 7.4; <two> 0.0